Arrangement i

# GGA-PBE ZrAs2I, relaxed
data_ZrAs2I
_cell_length_a 7.086
_cell_length_b 7.086
_cell_length_c 7.086
_cell_angle_alpha 90.00
_cell_angle_beta 90.00
_cell_angle_gamma 90.00
_symmetry_space_group_name_H-M 'F m -3 m'
_symmetry_Int_Tables_number 225
_symmetry_space_group_name_Hall '-F 4 2 3'
loop_
_atom_site_label
_atom_site_type_symbol
_atom_site_fract_x
_atom_site_fract_y
_atom_site_fract_z
_atom_site_occupancy
Zr1 Zr 0.000 0.000 0.000 1
As1 As 0.250 0.250 0.250 1
I1 I 0.000 0.000 0.500 1
# Theoretical density: 6.87 Mg/m³
# N(E_F): 25.1 states/eV per cell

***

Arrangement ii

# GGA-PBE ZrAs2I, relaxed
data_ZrAs2I
_cell_length_a 4.565
_cell_length_b 4.565
_cell_length_c 20.069
_cell_angle_alpha 90.00
_cell_angle_beta 90.00
_cell_angle_gamma 90.00
_symmetry_space_group_name_H-M 'I -4 2 d'
_symmetry_Int_Tables_number 122
_symmetry_space_group_name_Hall 'I -4 2bw'
loop_
_atom_site_label
_atom_site_type_symbol
_atom_site_fract_x
_atom_site_fract_y
_atom_site_fract_z
_atom_site_occupancy
Zr1 Zr 0.000 0.000 0.000 1
As1 As 0.128 0.250 0.125 1
I1 I 0.000 0.000 0.500 1
# Theoretical density: 5.85 Mg/m³
# N(E_F): 8.6 states/eV per cell

***

Most stable = arrangement ii

***

Arrangement i

# GGA-PBE In3As, relaxed
data_In3As
_cell_length_a 9.661
_cell_length_b 3.121
_cell_length_c 6.816
_cell_angle_alpha 90.00
_cell_angle_beta 94.66
_cell_angle_gamma 90.00
_symmetry_space_group_name_H-M 'C 1 2/m 1'
_symmetry_Int_Tables_number 12
_symmetry_space_group_name_Hall '-C 2y'
loop_
_atom_site_label
_atom_site_type_symbol
_atom_site_fract_x
_atom_site_fract_y
_atom_site_fract_z
_atom_site_occupancy
In1 In 0.000 0.000 0.000 1
In2 In 0.246 0.000 0.733 1
As1 As 0.000 0.500 0.500 1
# Theoretical density: 6.80 Mg/m³
# N(E_F): 3.3 states/eV per cell

***

Arrangement ii

# GGA-PBE In3As, relaxed
data_In3As
_cell_length_a 6.569
_cell_length_b 11.401
_cell_length_c 5.585
_cell_angle_alpha 90.00
_cell_angle_beta 90.00
_cell_angle_gamma 90.00
_symmetry_space_group_name_H-M 'C m c m'
_symmetry_Int_Tables_number 63
_symmetry_space_group_name_Hall '-C 2c 2'
loop_
_atom_site_label
_atom_site_type_symbol
_atom_site_fract_x
_atom_site_fract_y
_atom_site_fract_z
_atom_site_occupancy
In1 In 0.000 0.068 0.250 1
In2 In 0.235 0.192 0.750 1
As1 As 0.000 0.498 0.250 1
# Theoretical density: 6.66 Mg/m³
# N(E_F): 5.3 states/eV per cell

***

Arrangement iii

# GGA-PBE In3As, relaxed
data_In3As
_cell_length_a 3.2735
_cell_length_b 3.2735
_cell_length_c 32.8306
_cell_angle_alpha 90.00
_cell_angle_beta 90.00
_cell_angle_gamma 120.00
_symmetry_space_group_name_H-M 'R -3 m'
_symmetry_Int_Tables_number 166
_symmetry_space_group_name_Hall '-R 3 2"'
loop_
_atom_site_label
_atom_site_type_symbol
_atom_site_fract_x
_atom_site_fract_y
_atom_site_fract_z
_atom_site_occupancy
In1 In 0.0000 0.0000 0.0000 1
In2 In 0.0000 0.0000 0.2436 1
As1 As 0.0000 0.0000 0.5000 1
# Theoretical density: 6.86 Mg/m³
# N(E_F): 4.4 states/eV per cell

***

Arrangement iv

# GGA-PBE In3As, relaxed
data_In3As
_cell_length_a 7.411
_cell_length_b 7.411
_cell_length_c 7.411
_cell_angle_alpha 90.00
_cell_angle_beta 90.00
_cell_angle_gamma 90.00
_symmetry_space_group_name_H-M 'F m -3 m'
_symmetry_Int_Tables_number 225
_symmetry_space_group_name_Hall '-F 4 2 3'
loop_
_atom_site_label
_atom_site_type_symbol
_atom_site_fract_x
_atom_site_fract_y
_atom_site_fract_z
_atom_site_occupancy
In1 In 0.000 0.000 0.000 1
In2 In 0.250 0.250 0.250 1
As1 As 0.000 0.000 0.500 1
# Theoretical density: 6.84 Mg/m³
# N(E_F): 19.6 states/eV per cell

***

Most stable = arrangement ii

***

Arrangement i

# GGA-PBE In3As, relaxed
data_In3As
_cell_length_a 4.725
_cell_length_b 4.725
_cell_length_c 9.113
_cell_angle_alpha 90.00
_cell_angle_beta 90.00
_cell_angle_gamma 90.00
_symmetry_space_group_name_H-M 'I 4/m m m'
_symmetry_Int_Tables_number 139
_symmetry_space_group_name_Hall '-I 4 2'
loop_
_atom_site_label
_atom_site_type_symbol
_atom_site_fract_x
_atom_site_fract_y
_atom_site_fract_z
_atom_site_occupancy
In1 In 0.000 0.000 0.000 1
In2 In 0.000 0.500 0.250 1
As1 As 0.000 0.000 0.500 1
# Theoretical density: 6.85 Mg/m³
# N(E_F): 4.1 states/eV per cell

***

Arrangement ii

# GGA-PBE In3As, relaxed
data_In3As
_cell_length_a 3.797
_cell_length_b 3.878
_cell_length_c 7.418
_cell_angle_alpha 90.00
_cell_angle_beta 90.00
_cell_angle_gamma 90.00
_symmetry_space_group_name_H-M 'P m m 2'
_symmetry_Int_Tables_number 25
_symmetry_space_group_name_Hall 'P 2 -2'
loop_
_atom_site_label
_atom_site_type_symbol
_atom_site_fract_x
_atom_site_fract_y
_atom_site_fract_z
_atom_site_occupancy
In1 In 0.000 0.000 0.000 1
In2 In 0.000 0.500 0.423 1
In3 In 0.500 0.500 0.764 1
As1 As 0.500 0.000 0.286 1
# Theoretical density: 6.38 Mg/m³
# N(E_F): 1.5 states/eV per cell

***

Most stable = arrangement ii